Compound: HoSbSeO2
Source: Alexandria
Functional: PBE
Structure: optimized geometry

Unit cell a=6.476 b=3.956 c=7.605 alpha=90.00 beta=105.13 gamma=90.00
Sites, in units of the cell vectors:
Ho 0.192 0.250 0.426
Ho 0.808 0.750 0.574
Sb 0.179 0.250 0.905
Sb 0.821 0.750 0.095
Se 0.435 0.750 0.705
Se 0.565 0.250 0.295
O 0.007 0.750 0.885
O 0.017 0.750 0.364
O 0.983 0.250 0.636
O 0.993 0.250 0.115

Calculated values
As for the total moment: 0.00 μB per atom. As for the space group: P2_1/m (11). The calculated total energy is -32.1 eV per formula unit. The calculation puts the formation energy (no corrections) at -2.009 eV per atom.